A plane-wave DFT calculation with GGA+U was carried out for a geometry-optimized As2WAuF structure.

Cell: 4.9731 4.0165 4.9731 Å, 90.00 90.00 90.00°
With the nearest neighbours (Å) after each atom.
Fractional coordinates of all 5 atoms:
As 0.0000 0.0000 0.5000  2 W 2.49
Au 0.5000 0.5000 0.5000  8 As 3.20, 4 F 3.52
As 0.5000 0.0000 0.0000  2 W 2.49
W 0.0000 0.0000 0.0000  2 F 2.01
F 0.0000 0.5000 0.0000  2 W 2.01

Final energy in eV/f.u.: -21.5
SG: P4/mmm (123)
Crystal system: tetragonal
Fermi-level density of states in states/eV per cell: 1.14